# FeCoP2O (PBE with a Hubbard U, relaxed)
# Distance to the lowest polymorph of the same formula   0 kJ/mol of formula units
# Fermi-level density of states   3.00 states/eV per cell
# Calculated total energy   -24.3 eV per cell
# Total magnetization   4.76 μB per formula unit
data_FeCoP2O
_symmetry_space_group_name_H-M 'P 4/m m m'
_symmetry_Int_Tables_number 123
_symmetry_space_group_name_Hall '-P 4 2'
_cell_length_a 4.6205
_cell_length_b 4.6205
_cell_length_c 3.3939
_cell_angle_alpha 90.00
_cell_angle_beta 90.00
_cell_angle_gamma 90.00
loop_
_atom_site_label
_atom_site_type_symbol
_atom_site_fract_x
_atom_site_fract_y
_atom_site_fract_z
_atom_site_occupancy
Fe1 Fe 0.0000 0.0000 0.0000 1
Co1 Co 0.5000 0.5000 0.5000 1
P1 P 0.0000 0.5000 0.5000 1
O1 O 0.5000 0.5000 0.0000 1